LiTlTe2N (PBE-GGA, optimized geometry); SG = P4/mmm, No. 123
1.0
5.745 0.000 0.000
0.000 5.745 0.000
0.000 0.000 3.681
Te Tl Li N
2 1 1 1
Direct
0.000 0.500 0.000
0.500 0.000 0.000
0.500 0.500 0.500
0.000 0.000 0.000
0.000 0.000 0.500



LiTlTeN2 (PBE-GGA, optimized geometry); SG = P4/mmm, No. 123
1.0
4.365 0.000 0.000
0.000 4.365 0.000
0.000 0.000 5.597
N Li Te Tl
2 1 1 1
Direct
0.500 0.000 0.000
0.000 0.500 0.000
0.000 0.000 0.000
0.000 0.000 0.500
0.500 0.500 0.500



LiUTeN2 (PBE-GGA, optimized geometry); SG = I4mm, No. 107
1.0
-1.840 -0.842 3.374
2.768 -2.666 0.845
2.547 5.713 0.520
N Te U Li
2 1 1 1
Direct
0.247 0.747 0.494
0.747 0.247 0.494
0.499 0.499 0.997
0.189 0.189 0.378
0.818 0.818 0.636



LiVTe2N (PBE-GGA, optimized geometry); SG = P4/mmm, No. 123
1.0
-2.926 -0.046 4.656
-0.790 -5.415 -0.550
3.008 -0.630 1.884
Te Li V N
2 1 1 1
Direct
0.500 0.000 0.000
0.000 0.500 0.000
0.500 0.500 0.500
0.000 0.000 0.000
0.000 0.000 0.500



LiVTe2N (PBE-GGA, optimized geometry); SG = P4/mmm, No. 123
1.0
-1.749 3.552 3.333
-4.356 0.443 -2.759
-1.464 -2.511 1.908
Te V N Li
2 1 1 1
Direct
0.000 0.500 0.000
0.500 0.000 0.000
0.500 0.500 0.500
0.000 0.000 0.500
0.000 0.000 0.000



LiTeWN2 (PBE-GGA, optimized geometry); SG = P4/mmm, No. 123
1.0
-1.678 -3.165 -1.420
2.273 -2.195 2.206
-3.127 0.146 3.368
N W Li Te
2 1 1 1
Direct
0.500 0.000 0.000
0.000 0.500 0.000
0.500 0.500 0.500
0.000 0.000 0.000
0.000 0.000 0.500



LiTeWN2 (PBE-GGA, optimized geometry); SG = P4/mmm, No. 123
1.0
3.926 0.000 0.000
0.000 3.926 0.000
0.000 0.000 5.665
Li Te N W
1 1 2 1
Direct
0.500 0.500 0.500
0.000 0.000 0.500
0.000 0.500 0.000
0.500 0.000 0.000
0.000 0.000 0.000



LiTe2WN (PBE-GGA, optimized geometry); SG = P4/mmm, No. 123
1.0
-3.313 -3.919 1.985
-0.245 -2.317 -4.985
3.053 -2.151 0.850
N Li W Te
1 1 1 2
Direct
0.000 0.000 0.500
0.500 0.500 0.500
0.000 0.000 0.000
0.000 0.500 0.000
0.500 0.000 0.000



LiTe2WN (PBE-GGA, optimized geometry); SG = P4/mmm, No. 123
1.0
5.053 0.000 0.000
0.000 5.053 0.000
0.000 0.000 3.423
Li Te N W
1 2 1 1
Direct
0.000 0.000 0.000
0.000 0.500 0.000
0.500 0.000 0.000
0.000 0.000 0.500
0.500 0.500 0.500



LiYTeN2 (PBE-GGA, optimized geometry); SG = P4/mmm, No. 123
1.0
4.224 0.000 0.000
0.000 4.224 0.000
0.000 0.000 4.589
Te Li Y N
1 1 1 2
Direct
0.000 0.000 0.500
0.000 0.000 0.000
0.500 0.500 0.500
0.000 0.500 0.000
0.500 0.000 0.000



LiY2TeN (PBE-GGA, optimized geometry); SG = P4/mmm, No. 123
1.0
-4.437 1.425 1.354
-0.080 -3.471 3.391
1.685 2.642 2.744
Te N Y Li
1 1 2 1
Direct
0.500 0.500 0.500
0.000 0.000 0.000
0.000 0.500 0.000
0.500 0.000 0.000
0.000 0.000 0.500



LiYTeN2 (PBE-GGA, optimized geometry); SG = P4/mmm, No. 123
1.0
4.587 0.000 0.000
0.000 4.587 0.000
0.000 0.000 6.129
N Li Y Te
2 1 1 1
Direct
0.000 0.500 0.000
0.500 0.000 0.000
0.500 0.500 0.500
0.000 0.000 0.000
0.000 0.000 0.500



| no. | E_tot (eV/atom) | magnetic moment (μB per formula unit) |
| --- | --- | --- |
| 1 | -3.0902 | 1.75 |
| 2 | -3.3568 | 5.01 |
| 3 | -7.3958 | 0.00 |
| 4 | -5.2880 | 0.25 |
| 5 | -4.2863 | 3.52 |
| 6 | -4.8799 | 0.00 |
| 7 | -6.8640 | 0.00 |
| 8 | -5.8459 | 0.00 |
| 9 | -4.6067 | 1.72 |
| 10 | -4.8755 | 2.01 |
| 11 | -6.2716 | 0.00 |
| 12 | -5.1873 | 3.94 |